Material: Mg2AlGa2Ag5
Method: DFT, PBE
State: relaxed

Lattice parameters (Å, degrees): 9.748 9.748 3.915 90.00 90.00 90.00
Positions (direct):
1 Mg 0.172 0.328 0.000
2 Mg 0.328 0.828 0.000
3 Mg 0.672 0.172 0.000
4 Mg 0.828 0.672 0.000
5 Al 0.000 0.000 0.000
6 Al 0.500 0.500 0.000
7 Ga 0.127 0.627 0.000
8 Ga 0.373 0.127 0.000
9 Ga 0.627 0.873 0.000
10 Ga 0.873 0.373 0.000
11 Ag 0.000 0.500 0.500
12 Ag 0.069 0.804 0.500
13 Ag 0.196 0.069 0.500
14 Ag 0.304 0.569 0.500
15 Ag 0.431 0.304 0.500
16 Ag 0.500 0.000 0.500
17 Ag 0.569 0.696 0.500
18 Ag 0.696 0.431 0.500
19 Ag 0.804 0.931 0.500
20 Ag 0.931 0.196 0.500

**DFT total energy**: -0.203 Ry/atom
**DOS(E_F)**: 0.2700 states/eV per atom
**Energy of formation**: -0.034 eV/atom
**V**: 372.06 Å³/cell
**SG**: P4/mbm
**Crystal system**: tetragonal


Material: YGe2Te2
Method: DFT, PBE
State: relaxed

Lattice parameters (Å, degrees): 9.274 9.274 9.274 155.87 155.87 34.39
Positions (direct):
1 Y 0.000 0.000 0.000
2 Ge 0.250 0.750 0.500
3 Ge 0.750 0.250 0.500
4 Te 0.403 0.403 0.000
5 Te 0.597 0.597 0.000

**DFT total energy**: -0.353 Ry/atom
**DOS(E_F)**: 0.3395 states/eV per atom
**ΔE to the lowest computed polymorph**: 0.0 meV per atom
**Formation energy without anion corrections**: -412 meV/atom
**V**: 133.22 Å³/cell
**SG**: I4/mmm
**Crystal system**: tetragonal